Entry 1:
Below is a crystal of CdAgAu2 relaxed with PBEsol, with properties calculated at the SCAN level.

```
CdAgAu2
1.0
2.962 0.000 0.000
0.000 4.723 0.000
0.000 0.000 4.964
Cd Ag Au
1 1 2
Cartesian
0.000 0.000 0.000 Cd
0.000 2.361 3.245 Ag
1.481 0.000 2.493 Au
1.481 2.361 0.777 Au
```

Output
DOS(E_F): 0.83 states/eV/cell
crystal system: orthorhombic
density: 14.69 g/cm³
formation energy from the elements: -0.168 eV/atom
space-group type: No. 25



Entry 2:
Below is a crystal of Pm2NiRh relaxed with PBEsol, with properties calculated at the SCAN level.

```
Pm2NiRh
1.0
0.000 3.437 3.437
3.437 0.000 3.437
3.437 3.437 0.000
Pm Ni Rh
2 1 1
Cartesian
1.718 1.718 1.718 Pm
5.155 5.155 5.155 Pm
0.000 0.000 0.000 Ni
3.437 3.437 3.437 Rh
```

Output
DOS(E_F): 2.01 states/eV/cell
crystal system: cubic
density: 9.24 g/cm³
formation energy from the elements: -0.525 eV/atom
space-group type: No. 225



Entry 3:
Below is a crystal of Zn3SiBi relaxed with PBEsol, with properties calculated at the SCAN level.

```
Zn3SiBi
1.0
4.719 0.000 0.000
0.000 4.719 0.000
0.000 0.000 4.719
Zn Si Bi
3 1 1
Cartesian
0.000 0.000 2.359 Zn
0.000 2.359 0.000 Zn
2.359 0.000 0.000 Zn
0.000 0.000 0.000 Si
2.359 2.359 2.359 Bi
```

Output
DOS(E_F): 2.81 states/eV/cell
raw formation energy: 0.489 eV per atom
crystal system: cubic
density: 6.85 g/cm³
space-group type: No. 221



Entry 4:
Below is a crystal of AlCu3 relaxed with PBEsol, with properties calculated at the SCAN level.

```
AlCu3
1.0
4.043 2.334 0.854
-4.043 2.334 0.854
0.000 -4.668 0.854
Al Cu
1 3
Cartesian
0.000 0.000 0.000 Al
-2.021 -1.167 0.854 Cu
-2.021 1.167 1.707 Cu
0.000 2.334 0.854 Cu
```

Output
DOS(E_F): 1.08 states/eV/cell
crystal system: trigonal
density: 7.48 g/cm³
formation energy from the elements: -0.151 eV/atom
space-group type: No. 166



Entry 5:
Below is a crystal of LiMg2Pb relaxed with PBEsol, with properties calculated at the SCAN level.

```
LiMg2Pb
1.0
3.664 0.000 0.000
0.000 3.664 0.000
0.000 0.000 6.537
Li Mg Pb
1 2 1
Cartesian
0.000 0.000 0.000 Li
0.000 0.000 3.245 Mg
1.832 1.832 1.558 Mg
1.832 1.832 4.980 Pb
```

Output
DOS(E_F): 1.13 states/eV/cell
crystal system: tetragonal
density: 4.97 g/cm³
formation energy from the elements: -0.201 eV/atom
space-group type: No. 99



Entry 6:
Below is a crystal of Mg4TaAl relaxed with PBEsol, with properties calculated at the SCAN level.

```
Mg4TaAl
1.0
0.000 3.895 3.895
3.895 0.000 3.895
3.895 3.895 0.000
Mg Ta Al
4 1 1
Cartesian
2.927 2.927 2.927 Mg
4.863 4.863 2.927 Mg
4.863 2.927 4.863 Mg
2.927 4.863 4.863 Mg
5.842 5.842 5.842 Ta
0.000 0.000 0.000 Al
```

Output
DOS(E_F): 3.41 states/eV/cell
crystal system: cubic
density: 4.29 g/cm³
formation energy from the elements: 0.525 eV/atom
space-group type: No. 216



Entry 7:
Below is a crystal of Ta2ReSb relaxed with PBEsol, with properties calculated at the SCAN level.

```
Ta2ReSb
1.0
-1.956 1.956 4.528
1.956 -1.956 4.528
1.956 1.956 -4.528
Ta Re Sb
2 1 1
Cartesian
0.000 0.000 0.000 Ta
0.000 1.956 2.264 Ta
0.000 0.000 4.528 Re
1.956 0.000 2.264 Sb
```

Output
DOS(E_F): 2.39 states/eV/cell
raw formation energy: 0.164 eV per atom
crystal system: tetragonal
density: 16.05 g/cm³
space-group type: No. 119



Entry 8:
Below is a crystal of KTl2Co relaxed with PBEsol, with properties calculated at the SCAN level.

```
KTl2Co
1.0
0.000 3.576 3.576
3.576 0.000 3.576
3.576 3.576 0.000
K Tl Co
1 2 1
Cartesian
0.000 0.000 0.000 K
1.788 1.788 1.788 Tl
5.364 5.364 5.364 Tl
3.576 3.576 3.576 Co
```

Output
DOS(E_F): 2.28 states/eV/cell
crystal system: cubic
density: 9.20 g/cm³
formation energy from the elements: 0.496 eV/atom
space-group type: No. 225



Entry 9:
Below is a crystal of SrCoNF2 relaxed with PBEsol, with properties calculated at the SCAN level.

```
SrCoNF2
1.0
4.429 0.000 0.000
0.000 4.429 0.000
0.000 0.000 5.114
Sr Co N F
1 1 1 2
Cartesian
0.000 0.000 0.000 Sr
2.214 2.214 2.557 Co
0.000 0.000 2.557 N
0.000 2.214 0.000 F
2.214 0.000 0.000 F
```

Output
DOS(E_F): 1.03 states/eV/cell
raw formation energy: -0.672 eV per atom
crystal system: tetragonal
density: 3.29 g/cm³
space-group type: No. 123



Entry 10:
Below is a crystal of TlAg2W relaxed with PBEsol, with properties calculated at the SCAN level.

```
TlAg2W
1.0
-1.438 2.522 4.927
1.438 -2.522 4.927
1.438 2.522 -4.927
Tl Ag W
1 2 1
Cartesian
0.000 0.000 0.000 Tl
1.438 0.000 2.487 Ag
0.000 0.000 4.890 Ag
0.000 2.522 2.401 W
```

Output
DOS(E_F): 2.29 states/eV/cell
crystal system: orthorhombic
density: 14.03 g/cm³
formation energy from the elements: 0.876 eV/atom
space-group type: No. 44



Entry 11:
Below is a crystal of ZnCd relaxed with PBEsol, with properties calculated at the SCAN level.

```
ZnCd
1.0
2.944 0.000 0.000
-1.472 2.550 0.000
0.000 0.000 9.342
Zn Cd
2 2
Cartesian
0.000 1.700 3.677 Zn
1.472 0.850 5.665 Zn
0.000 1.700 8.004 Cd
1.472 0.850 1.338 Cd
```

Output
DOS(E_F): 1.29 states/eV/cell
crystal system: trigonal
density: 8.42 g/cm³
formation energy from the elements: 0.087 eV/atom
space-group type: No. 164



Entry 12:
Below is a crystal of Ir4Ru relaxed with PBEsol, with properties calculated at the SCAN level.

```
Ir4Ru
1.0
-3.017 3.017 1.907
3.017 -3.017 1.907
3.017 3.017 -1.907
Ir Ru
4 1
Cartesian
1.803 0.612 0.000 Ir
2.406 -1.215 1.907 Ir
0.612 4.232 0.000 Ir
1.215 2.406 1.907 Ir
0.000 0.000 1.907 Ru
```

Output
DOS(E_F): 4.03 states/eV/cell
crystal system: tetragonal
density: 20.80 g/cm³
formation energy from the elements: -0.042 eV/atom
space-group type: No. 87



What is the formula in the second record?
Pm2NiRh



Look up the density of the second one.
9.24 g/cm³



Look up the density of the sixth one.
4.29 g/cm³



Repeat the tenth record exactly.
Below is a crystal of TlAg2W relaxed with PBEsol, with properties calculated at the SCAN level.

```
TlAg2W
1.0
-1.438 2.522 4.927
1.438 -2.522 4.927
1.438 2.522 -4.927
Tl Ag W
1 2 1
Cartesian
0.000 0.000 0.000 Tl
1.438 0.000 2.487 Ag
0.000 0.000 4.890 Ag
0.000 2.522 2.401 W
```

Output
DOS(E_F): 2.29 states/eV/cell
crystal system: orthorhombic
density: 14.03 g/cm³
formation energy from the elements: 0.876 eV/atom
space-group type: No. 44